This record from the Alexandria database describes an optimized crystal structure of Ho2Sb2O7. The functional is GGA-PBEsol.

a = 7.427 Å, b = 7.427 Å, c = 18.276 Å
α = 90.00°, β = 90.00°, γ = 120.00°
Atoms (fractional coordinates):
Ho  0.000  0.828  0.167
Ho  0.000  0.836  0.667
Ho  0.164  0.164  0.000
Ho  0.172  0.172  0.500
Ho  0.181  0.683  0.512
Ho  0.317  0.498  0.845
Ho  0.498  0.317  0.155
Ho  0.502  0.819  0.178
Ho  0.683  0.181  0.488
Ho  0.819  0.502  0.822
Ho  0.828  0.000  0.833
Ho  0.836  0.000  0.333
Sb  0.000  0.304  0.167
Sb  0.000  0.327  0.667
Sb  0.166  0.667  0.001
Sb  0.304  0.000  0.833
Sb  0.327  0.000  0.333
Sb  0.333  0.498  0.334
Sb  0.498  0.333  0.666
Sb  0.502  0.834  0.668
Sb  0.667  0.166  0.999
Sb  0.673  0.673  0.000
Sb  0.696  0.696  0.500
Sb  0.834  0.502  0.332
O  0.007  0.335  0.790
O  0.007  0.809  0.030
O  0.016  0.852  0.785
O  0.050  0.433  0.306
O  0.106  0.656  0.893
O  0.148  0.164  0.118
O  0.164  0.148  0.882
O  0.191  0.198  0.363
O  0.198  0.191  0.637
O  0.200  0.682  0.639
O  0.231  0.693  0.107
O  0.307  0.539  0.440
O  0.318  0.518  0.972
O  0.328  0.993  0.456
O  0.335  0.007  0.210
O  0.344  0.450  0.227
O  0.382  0.950  0.973
O  0.433  0.050  0.694
O  0.450  0.344  0.773
O  0.461  0.769  0.773
O  0.482  0.800  0.306
O  0.518  0.318  0.028
O  0.539  0.307  0.560
O  0.550  0.894  0.560
O  0.567  0.618  0.639
O  0.618  0.567  0.361
O  0.656  0.106  0.107
O  0.665  0.672  0.123
O  0.672  0.665  0.877
O  0.682  0.200  0.361
O  0.693  0.231  0.893
O  0.769  0.461  0.227
O  0.800  0.482  0.694
O  0.802  0.993  0.696
O  0.809  0.007  0.970
O  0.836  0.984  0.451
O  0.852  0.016  0.215
O  0.894  0.550  0.440
O  0.950  0.382  0.027
O  0.984  0.836  0.549
O  0.993  0.328  0.544
O  0.993  0.802  0.304

Output
- space group = No. 152
- electronic total energy (eV/atom) = -7.5015
- E_form (uncorrected) (kJ/mol of formula units) = -2582

***

This record from the Alexandria database describes an optimized crystal structure of Ho3Sb5O12. The functional is GGA-PBEsol.

a = 9.236 Å, b = 9.236 Å, c = 9.236 Å
α = 109.47°, β = 109.47°, γ = 109.47°
Atoms (fractional coordinates):
Ho  0.250  0.500  0.750
Ho  0.250  0.750  0.500
Ho  0.500  0.250  0.750
Ho  0.500  0.750  0.250
Ho  0.750  0.250  0.500
Ho  0.750  0.500  0.250
Sb  0.000  0.000  0.520
Sb  0.000  0.279  0.279
Sb  0.000  0.520  0.000
Sb  0.000  0.721  0.721
Sb  0.279  0.000  0.279
Sb  0.279  0.279  0.000
Sb  0.480  0.480  0.480
Sb  0.520  0.000  0.000
Sb  0.721  0.000  0.721
Sb  0.721  0.721  0.000
O  0.000  0.203  0.480
O  0.000  0.480  0.203
O  0.000  0.502  0.707
O  0.000  0.707  0.502
O  0.203  0.000  0.480
O  0.203  0.480  0.000
O  0.205  0.498  0.498
O  0.277  0.797  0.797
O  0.293  0.293  0.795
O  0.293  0.795  0.293
O  0.480  0.000  0.203
O  0.480  0.203  0.000
O  0.498  0.205  0.498
O  0.498  0.498  0.205
O  0.502  0.000  0.707
O  0.502  0.707  0.000
O  0.520  0.520  0.723
O  0.520  0.723  0.520
O  0.707  0.000  0.502
O  0.707  0.502  0.000
O  0.723  0.520  0.520
O  0.795  0.293  0.293
O  0.797  0.277  0.797
O  0.797  0.797  0.277

Output
- space group = No. 217
- electronic total energy (eV/atom) = -7.3153
- E_form (uncorrected) (kJ/mol of formula units) = -4407

***

Which value of E_form (uncorrected) does entry 2 give? -4407 kJ/mol of formula units